# PBE ScCdAgCl6, relaxed
data_ScCdAgCl6
_cell_length_a 6.6075
_cell_length_b 6.6075
_cell_length_c 12.1394
_cell_angle_alpha 90.00
_cell_angle_beta 90.00
_cell_angle_gamma 120.00
_space_group_name_H-M_alt 'P -3 1 c'
_space_group_IT_number 163
_space_group_name_Hall '-P 3 2c'
loop_
_atom_site_label
_atom_site_type_symbol
_atom_site_fract_x
_atom_site_fract_y
_atom_site_fract_z
Sc1 Sc 0.3333 0.6667 0.2500
Cd1 Cd 0.3333 0.6667 0.7500
Ag1 Ag 0.0000 0.0000 0.0000
Cl1 Cl 0.0175 0.3609 0.1307
# E_form (uncorrected) = -1.38 eV/atom
# V = 229 Å³/f.u.
# Density = 3.5 g cm⁻³